Record 1
A geometry-optimized Y3Ga2Pt6 structure. Source: the Alexandria database, functional PBE-GGA.

Output
Calculated formation energy (meV/atom): -1024
VASP energy (eV per atom): -6.6322
Size of the total moment (μB/f.u.): 0.0
Theoretical density (kg/m³): 12061

abc: 9.540 9.540 9.540
angles: 90.00 90.00 90.00
Space group Im-3m (No. 229)
Asymmetric unit:
Y1 0.000 0.000 0.300 x12
Ga1 0.250 0.250 0.250 x8
Pt1 0.000 0.323 0.323 x24

=====

Record 2
A geometry-optimized PrNd5 structure. Source: the Alexandria database, functional PBE-GGA.

Output
Calculated formation energy (meV/atom): 12
VASP energy (eV per atom): -4.7577
Size of the total moment (μB/f.u.): 0.0
Theoretical density (kg/m³): 6731

abc: 5.206 15.668 5.215
angles: 90.00 90.00 90.00
Space group Cmmm (No. 65)
Asymmetric unit:
Pr1 0.000 0.000 0.000 x2
Nd1 0.000 0.167 0.500 x4
Nd2 0.000 0.333 0.000 x4
Nd3 0.000 0.500 0.500 x2

=====

Record 3
A geometry-optimized Sc2MnInSn structure. Source: the Alexandria database, functional PBE-GGA.

Output
Calculated formation energy (meV/atom): 159
VASP energy (eV per atom): -5.5556
Size of the total moment (μB/f.u.): 0.0
Theoretical density (kg/m³): 4890

abc: 4.945 4.945 5.255
angles: 90.00 90.00 90.00
Space group P4/mmm (No. 123)
Asymmetric unit:
Sc1 0.000 0.500 0.000 x2
Mn1 0.000 0.000 0.000 x1
In1 0.000 0.000 0.500 x1
Sn1 0.500 0.500 0.500 x1

=====

Record 4
A geometry-optimized CdGa2Hg structure. Source: the Alexandria database, functional PBE-GGA.

Output
Energy above the lowest structure with this stoichiometry (meV per atom): 76.8
Calculated formation energy (meV/atom): 126
VASP energy (eV per atom): -1.6916
Size of the total moment (μB/f.u.): 0.0
Theoretical density (kg/m³): 7865

abc: 4.1018 4.1018 19.6683
angles: 90.00 90.00 120.00
Space group R3m (No. 160, hexagonal axes)
Asymmetric unit:
Cd1 0.0000 0.0000 0.0000 x3
Ga1 0.0000 0.0000 0.5837 x3
Ga2 0.0000 0.0000 0.7540 x3
Hg1 0.0000 0.0000 0.1696 x3